CdSb2Pb | PBE | optimized geometry

Lattice parameters (Å, degrees): 6.2645 6.2645 6.2645 142.94 127.80 65.74
Closest atoms and distances in Å follow each position.
Sites, in units of the cell vectors:
Pb 0.2614 0.7614 0.5000  2 Cd 3.35, 8 Sb 3.40-3.69
Sb 0.9665 0.9665 0.0000  2 Sb 2.99
Sb 0.7545 0.2545 0.5000  2 Sb 2.99, 2 Cd 3.19
Cd 0.5175 0.5175 0.0000  6 Sb 3.19-3.44, 2 Pb 3.35

## Properties
total magnetization = 0.00 μB per formula unit
formation energy from raw total energies = 100 meV/atom